10
Lattice="4.997 0.000 0.000 0.000 4.997 0.000 0.000 0.000 12.036" Properties=species:S:1:pos:R:3 comment="Ba2In7Au PBE relaxed" delta_e_f_mev_per_atom=-387 volume_a3_per_cell=300.48 magnetic_moment_mub_per_atom=0.0000 pbc="T T T"
Ba 2.498 0.000 9.146
Ba 0.000 2.498 2.890
In 0.000 2.498 10.567
In 2.498 0.000 4.341
In 2.498 0.000 1.469
In 0.000 2.498 7.695
In 0.000 0.000 6.018
In 0.000 0.000 0.000
In 2.498 2.498 6.018
Au 2.498 2.498 0.000